VASP calculation (PBE) on a geometry-optimized BaTaAsO structure.

Summary:
Its space group is Pmc2_1 (26). The excess energy over the best structure of this formula in the dataset is 0.0 meV per atom. The value obtained for the final energy is -7.106 eV/atom.

Lattice parameters (Å, degrees): 4.4035 7.2960 6.4719 90.00 90.00 90.00
With the nearest neighbours (Å) after each atom.
Positions (direct):
Ta  0.5000  0.4118  0.0255  2 O 1.98
Ba  0.0000  0.7982  0.9525  2 O 2.68
Ba  0.0000  0.2018  0.4525  2 O 2.68
Ta  0.5000  0.5882  0.5255  2 O 1.98
As  0.0000  0.2502  0.9461  2 Ta 2.55
As  0.0000  0.7498  0.4461  2 Ta 2.55
O  0.5000  0.6204  0.8298  2 Ta 1.98
O  0.5000  0.3796  0.3298  2 Ta 1.98

=====

VASP calculation (PBE) on a geometry-optimized ErTcAg structure.

Summary:
Its space group is F-43m (216). The formation energy comes out at 997 meV/atom. The value obtained for the final energy is -4.919 eV/atom.

Lattice parameters (Å, degrees): 4.5770 4.5770 4.5770 60.00 60.00 60.00
With the nearest neighbours (Å) after each atom.
Positions (direct):
Ag  0.2500  0.2500  0.2500  4 Er 2.80
Tc  0.7500  0.7500  0.7500  4 Er 2.80
Er  0.0000  0.0000  0.0000  4 Tc 2.80, 4 Ag 2.80

=====

What did the first record say?
VASP calculation (PBE) on a geometry-optimized BaTaAsO structure.

Summary:
Its space group is Pmc2_1 (26). The excess energy over the best structure of this formula in the dataset is 0.0 meV per atom. The value obtained for the final energy is -7.106 eV/atom.

Lattice parameters (Å, degrees): 4.4035 7.2960 6.4719 90.00 90.00 90.00
With the nearest neighbours (Å) after each atom.
Positions (direct):
Ta  0.5000  0.4118  0.0255  2 O 1.98
Ba  0.0000  0.7982  0.9525  2 O 2.68
Ba  0.0000  0.2018  0.4525  2 O 2.68
Ta  0.5000  0.5882  0.5255  2 O 1.98
As  0.0000  0.2502  0.9461  2 Ta 2.55
As  0.0000  0.7498  0.4461  2 Ta 2.55
O  0.5000  0.6204  0.8298  2 Ta 1.98
O  0.5000  0.3796  0.3298  2 Ta 1.98

=====

Which value of final energy does entry 2 give? -4.919 eV/atom

=====

Among the records above, which one has the highest final energy? ErTcAg